1.
This record from Alexandria via LeMat-Bulk describes a relaxed structure of Hg2AuCl. The functional is PBE-GGA.

It has space group Cmm2 (No. 35), with a = 3.894 Å, b = 6.266 Å, c = 8.402 Å, α = 90.00°, β = 90.00° and γ = 90.00°. Symmetry generates all atoms from Hg at (0.000, 0.000, 0.000), Hg at (0.000, 0.500, 0.279), Au at (0.000, 0.000, 0.512) and Cl at (0.000, 0.500, 0.721).

The energy relative to the lowest polymorph listed for this composition comes out at 0.137 eV/atom. As for the calculated density: 10.26 g/cm³. For the density of states at the Fermi level, the calculation gives 0.243 states/eV/atom. The value obtained for the energy is -1.420 eV/atom.

2.
This record from Alexandria via LeMat-Bulk describes a relaxed structure of YTcB2. The functional is PBE-GGA.

It has space group R-3m (No. 166, hexagonal axes), with a = 3.6704 Å, b = 3.6704 Å, c = 14.3119 Å, α = 90.00°, β = 90.00° and γ = 120.00°. Symmetry generates all atoms from Y at (0.0000, 0.0000, 0.0000), Tc at (0.0000, 0.0000, 0.5000) and B at (0.0000, 0.0000, 0.2064).

The energy relative to the lowest polymorph listed for this composition comes out at 0.431 eV/atom. As for the calculated density: 6.22 g/cm³. The calculation puts the calculated formation energy at -0.53 eV/f.u. For the density of states at the Fermi level, the calculation gives 0.711 states/eV/atom. The value obtained for the energy is -7.679 eV/atom.

3.
This record from Alexandria via LeMat-Bulk describes a relaxed structure of ScGeIO2. The functional is PBE-GGA.

It has space group P4/mmm (No. 123), with a = 4.146 Å, b = 4.146 Å, c = 5.825 Å, α = 90.00°, β = 90.00° and γ = 90.00°. Symmetry generates all atoms from Sc at (0.000, 0.000, 0.000), Ge at (0.500, 0.500, 0.500), I at (0.000, 0.000, 0.500) and O at (0.000, 0.500, 0.000).

The energy relative to the lowest polymorph listed for this composition comes out at 0.000 eV/atom. As for the calculated density: 4.59 g/cm³. For the density of states at the Fermi level, the calculation gives 0.529 states/eV/atom. The value obtained for the energy is -5.567 eV/atom.

4.
This record from Alexandria via LeMat-Bulk describes a relaxed structure of NbTlCl2. The functional is PBE-GGA.

It has space group I-42d (No. 122), with a = 5.632 Å, b = 5.632 Å, c = 15.886 Å, α = 90.00°, β = 90.00° and γ = 90.00°. Symmetry generates all atoms from Nb at (0.000, 0.000, 0.000), Tl at (0.000, 0.000, 0.500) and Cl at (0.142, 0.250, 0.125).

The energy relative to the lowest polymorph listed for this composition comes out at 0.594 eV/atom. As for the calculated density: 4.85 g/cm³. For the density of states at the Fermi level, the calculation gives 1.871 states/eV/atom. The value obtained for the energy is -4.096 eV/atom.

5.
This record from Alexandria via LeMat-Bulk describes a relaxed structure of Tb2DyHf. The functional is PBE-GGA.

It has space group P4/mmm (No. 123), with a = 4.854 Å, b = 4.854 Å, c = 4.844 Å, α = 90.00°, β = 90.00° and γ = 90.00°. Symmetry generates all atoms from Tb at (0.000, 0.500, 0.000), Dy at (0.000, 0.000, 0.500) and Hf at (0.500, 0.500, 0.500).

The energy relative to the lowest polymorph listed for this composition comes out at 0.028 eV/atom. As for the calculated density: 9.59 g/cm³. The calculation puts the calculated formation energy at 0.58 eV/f.u. For the density of states at the Fermi level, the calculation gives 1.075 states/eV/atom. The value obtained for the energy is -5.810 eV/atom.

6.
This record from Alexandria via LeMat-Bulk describes a relaxed structure of CaBi2Sb. The functional is PBE-GGA.

It has space group P4/mmm (No. 123), with a = 4.848 Å, b = 4.848 Å, c = 5.129 Å, α = 90.00°, β = 90.00° and γ = 90.00°. Symmetry generates all atoms from Ca at (0.000, 0.000, 0.000), Bi at (0.000, 0.500, 0.500) and Sb at (0.500, 0.500, 0.000).

As for the calculated density: 7.99 g/cm³. For the density of states at the Fermi level, the calculation gives 0.654 states/eV/atom. The value obtained for the energy is -3.846 eV/atom.

Q: Which of these has the highest energy?
A: Hg2AuCl